Record 1
This record from the Alexandria database describes crystalline AlSbAs2Br at its relaxed geometry. The functional is PBE-GGA.

Calculated values
spin magnetization: 0.00 μB per atom
uncorrected formation energy: 0.29 eV per atom
theoretical density: 5.171 g/cm3
relative energy among the computed polymorphs: 0.000 eV/atom

a = 5.0158 Å, b = 5.0158 Å, c = 4.8313 Å
α = 90.00°, β = 90.00°, γ = 90.00°
With the nearest neighbours (Å) after each atom.
Fractional positions:
Al (0.0000, 0.0000, 0.0000)  2 Br 2.42, 4 As 2.51
As (0.0000, 0.5000, 0.0000)  2 Al 2.51
Sb (0.5000, 0.5000, 0.5000)  8 As 3.48, 4 Br 3.55
As (0.5000, 0.0000, 0.0000)  2 Al 2.51
Br (0.0000, 0.0000, 0.5000)  2 Al 2.42

Record 2
This record from the Alexandria database describes crystalline CrOsPd2 at its relaxed geometry. The functional is PBE-GGA.

Calculated values
spin magnetization: 0.00 μB per atom
theoretical density: 12.411 g/cm3
relative energy among the computed polymorphs: 0.000 eV/atom
ΔH_f (0 K): 0.603 eV per atom

a = 3.6510 Å, b = 3.6510 Å, c = 9.4931 Å
α = 78.91°, β = 78.91°, γ = 90.00°
With the nearest neighbours (Å) after each atom.
Fractional positions:
Pd (0.1268, 0.6250, 0.2500)  4 Pd 2.57-2.59, 2 Cr 2.62, 2 Os 2.63
Os (0.0000, 0.0000, 0.0000)  4 Cr 2.58, 4 Pd 2.63
Pd (0.8750, 0.8732, 0.7500)  4 Pd 2.57-2.59, 2 Cr 2.62, 2 Os 2.63
Cr (0.5000, 0.5000, 0.0000)  4 Os 2.58, 4 Pd 2.62
Cr (0.2500, 0.7500, 0.5000)  4 Os 2.58, 4 Pd 2.62
Pd (0.6232, 0.1250, 0.2500)  4 Pd 2.57-2.59, 2 Cr 2.62, 2 Os 2.63
Pd (0.3750, 0.3768, 0.7500)  4 Pd 2.57-2.59, 2 Cr 2.62, 2 Os 2.63
Os (0.7500, 0.2500, 0.5000)  4 Cr 2.58, 4 Pd 2.63

Record 3
This record from the Alexandria database describes crystalline ZnCu4Au2 at its relaxed geometry. The functional is PBE-GGA.

Calculated values
spin magnetization: 0.00 μB per atom
theoretical density: 11.159 g/cm3
ΔH_f (0 K): 0.001 eV per atom

a = 5.3394 Å, b = 5.3394 Å, c = 5.2691 Å
α = 119.57°, β = 119.57°, γ = 91.50°
With the nearest neighbours (Å) after each atom.
Fractional positions:
Au (0.8572, 0.1428, 0.5000)  2 Zn 2.63, 8 Cu 2.67
Au (0.3572, 0.6428, 0.5000)  2 Zn 2.63, 8 Cu 2.67
Cu (0.3572, 0.1430, 0.5002)  4 Cu 2.63-2.64, 2 Zn 2.67, 4 Au 2.67
Cu (0.3573, 0.1430, 0.0000)  4 Cu 2.63-2.64, 2 Zn 2.67, 4 Au 2.67
Zn (0.3569, 0.6431, 0.0000)  4 Au 2.63, 8 Cu 2.67
Cu (0.8570, 0.6428, 0.4998)  4 Cu 2.63-2.64, 2 Zn 2.67, 4 Au 2.67
Cu (0.8570, 0.6427, 0.0000)  4 Cu 2.63-2.64, 2 Zn 2.67, 4 Au 2.67

Record 4
This record from the Alexandria database describes crystalline CsNb3Sn at its relaxed geometry. The functional is PBE-GGA.

Calculated values
spin magnetization: 0.00 μB per atom
theoretical density: 6.870 g/cm3
relative energy among the computed polymorphs: 0.572 eV/atom
ΔH_f (0 K): 2.461 eV per atom

a = 5.0422 Å, b = 5.0422 Å, c = 5.0422 Å
α = 90.00°, β = 90.00°, γ = 90.00°
With the nearest neighbours (Å) after each atom.
Fractional positions:
Nb (0.0000, 0.5000, 0.0000)  2 Cs 2.52
Sn (0.5000, 0.5000, 0.5000)  12 Nb 3.57
Nb (0.0000, 0.0000, 0.5000)  2 Cs 2.52
Nb (0.5000, 0.0000, 0.0000)  2 Cs 2.52
Cs (0.0000, 0.0000, 0.0000)  6 Nb 2.52

Record 5
This record from the Alexandria database describes crystalline ThCdHgRh at its relaxed geometry. The functional is PBE-GGA.

Calculated values
spin magnetization: 0.00 μB per atom
theoretical density: 11.955 g/cm3
relative energy among the computed polymorphs: 0.072 eV/atom
ΔH_f (0 K): -0.311 eV per atom

a = 5.0301 Å, b = 5.0301 Å, c = 5.0301 Å
α = 60.00°, β = 60.00°, γ = 60.00°
With the nearest neighbours (Å) after each atom.
Fractional positions:
Cd (0.2500, 0.2500, 0.2500)  4 Hg 3.08, 4 Rh 3.08
Hg (0.0000, 0.0000, 0.0000)  4 Cd 3.08, 4 Th 3.08
Th (0.7500, 0.7500, 0.7500)  4 Hg 3.08, 4 Rh 3.08
Rh (0.5000, 0.5000, 0.5000)  4 Cd 3.08, 4 Th 3.08

Record 6
This record from the Alexandria database describes crystalline Al3BrO at its relaxed geometry. The functional is PBE-GGA.

Calculated values
spin magnetization: 0.00 μB per atom
uncorrected formation energy: -0.05 eV per atom
theoretical density: 3.023 g/cm3
relative energy among the computed polymorphs: 0.000 eV/atom

a = 4.5968 Å, b = 4.5968 Å, c = 4.5968 Å
α = 90.00°, β = 90.00°, γ = 90.00°
With the nearest neighbours (Å) after each atom.
Fractional positions:
Br (0.5000, 0.5000, 0.5000)  12 Al 3.25
Al (0.0000, 0.0000, 0.5000)  2 O 2.30
Al (0.0000, 0.5000, 0.0000)  2 O 2.30
Al (0.5000, 0.0000, 0.0000)  2 O 2.30
O (0.0000, 0.0000, 0.0000)  6 Al 2.30

Record 7
This record from the Alexandria database describes crystalline TbSc2Sb4 at its relaxed geometry. The functional is PBE-GGA.

Calculated values
spin magnetization: 0.00 μB per atom
uncorrected formation energy: -0.73 eV per atom
theoretical density: 6.590 g/cm3

a = 4.2157 Å, b = 5.8862 Å, c = 16.0071 Å
α = 90.00°, β = 90.00°, γ = 110.98°
With the nearest neighbours (Å) after each atom.
Fractional positions:
Sb (0.1580, 0.3161, 0.6147)  3 Sc 3.02-3.04, 2 Tb 3.19, 2 Sb 3.29
Sb (0.1464, 0.2928, 0.2500)  2 Sc 2.80
Sb (0.8420, 0.6839, 0.1147)  3 Sc 3.02-3.04, 2 Tb 3.19, 2 Sb 3.29
Sb (0.5000, 0.0000, 0.0000)  4 Sc 2.96, 4 Sb 3.29
Tb (0.4350, 0.8701, 0.2500)  7 Sb 3.14-3.19
Sc (0.8460, 0.6920, 0.5752)  6 Sb 2.80-3.04
Sb (0.8420, 0.6839, 0.3853)  3 Sc 3.02-3.04, 2 Tb 3.19, 2 Sb 3.29
Sc (0.1540, 0.3080, 0.0752)  6 Sb 2.80-3.04
Sc (0.1540, 0.3080, 0.4248)  6 Sb 2.80-3.04
Sb (0.8536, 0.7072, 0.7500)  2 Sc 2.80
Tb (0.5650, 0.1299, 0.7500)  7 Sb 3.14-3.19
Sc (0.8460, 0.6920, 0.9248)  6 Sb 2.80-3.04
Sb (0.5000, 0.0000, 0.5000)  4 Sc 2.96, 4 Sb 3.29
Sb (0.1580, 0.3161, 0.8853)  3 Sc 3.02-3.04, 2 Tb 3.19, 2 Sb 3.29

Record 8
This record from the Alexandria database describes crystalline AsPbSe2Br at its relaxed geometry. The functional is PBE-GGA.

Calculated values
spin magnetization: 0.00 μB per atom
uncorrected formation energy: 0.79 eV per atom
theoretical density: 5.052 g/cm3
relative energy among the computed polymorphs: 0.811 eV/atom

a = 5.4233 Å, b = 5.4233 Å, c = 5.8103 Å
α = 90.00°, β = 90.00°, γ = 90.00°
With the nearest neighbours (Å) after each atom.
Fractional positions:
Se (0.0000, 0.5000, 0.0000)  2 Pb 2.71
Br (0.5000, 0.5000, 0.5000)  4 As 3.83, 8 Se 3.97
Se (0.5000, 0.0000, 0.0000)  2 Pb 2.71
Pb (0.0000, 0.0000, 0.0000)  4 Se 2.71, 2 As 2.91
As (0.0000, 0.0000, 0.5000)  2 Pb 2.91

Record 9
This record from the Alexandria database describes crystalline SiBi2As at its relaxed geometry. The functional is PBE-GGA.

Calculated values
spin magnetization: 0.00 μB per atom
uncorrected formation energy: 0.44 eV per atom
theoretical density: 8.699 g/cm3
relative energy among the computed polymorphs: 0.011 eV/atom

a = 5.2003 Å, b = 5.2003 Å, c = 5.2003 Å
α = 60.00°, β = 60.00°, γ = 60.00°
With the nearest neighbours (Å) after each atom.
Fractional positions:
As (0.5000, 0.5000, 0.5000)  8 Bi 3.18
Bi (0.7500, 0.7500, 0.7500)  4 As 3.18, 4 Si 3.18
Bi (0.2500, 0.2500, 0.2500)  4 As 3.18, 4 Si 3.18
Si (0.0000, 0.0000, 0.0000)  8 Bi 3.18

Record 10
This record from the Alexandria database describes crystalline SrMg2Tc at its relaxed geometry. The functional is PBE-GGA.

Calculated values
spin magnetization: 0.19 μB per atom
theoretical density: 4.196 g/cm3
relative energy among the computed polymorphs: 0.224 eV/atom
ΔH_f (0 K): 0.586 eV per atom

a = 10.5776 Å, b = 10.5776 Å, c = 10.5776 Å
α = 17.43°, β = 17.43°, γ = 17.43°
With the nearest neighbours (Å) after each atom.
Fractional positions:
Tc (0.7500, 0.7500, 0.7500)  6 Mg 2.80
Sr (0.2500, 0.2500, 0.2500)  6 Sr 3.21
Mg (0.4841, 0.4841, 0.4841)  3 Tc 2.80
Mg (0.0159, 0.0159, 0.0159)  3 Tc 2.80

Record 11
This record from the Alexandria database describes crystalline Ac3TePdBr at its relaxed geometry. The functional is PBE-GGA.

Calculated values
spin magnetization: 0.00 μB per atom
uncorrected formation energy: -1.07 eV per atom
theoretical density: 7.822 g/cm3

a = 4.4830 Å, b = 9.1498 Å, c = 10.6074 Å
α = 103.85°, β = 90.00°, γ = 90.00°
With the nearest neighbours (Å) after each atom.
Fractional positions:
Ac (0.2500, 0.5519, 0.8398)  3 Pd 3.06-3.07
Ac (0.2500, 0.1135, 0.8966)  1 Br 3.06, 2 Pd 3.08
Ac (0.2500, 0.7094, 0.4882)  3 Br 3.16-3.47
Br (0.7500, 0.9031, 0.3946)  3 Ac 3.06-3.16, 2 Br 3.36
Ac (0.7500, 0.2906, 0.5118)  3 Br 3.16-3.47
Br (0.2500, 0.0969, 0.6054)  3 Ac 3.06-3.16, 2 Br 3.36
Te (0.2500, 0.1912, 0.2464)  7 Ac 3.52-3.62
Ac (0.7500, 0.4481, 0.1602)  3 Pd 3.06-3.07
Pd (0.2500, 0.6677, 0.1361)  5 Ac 3.06-3.08
Pd (0.7500, 0.3323, 0.8639)  5 Ac 3.06-3.08
Te (0.7500, 0.8088, 0.7536)  7 Ac 3.52-3.62
Ac (0.7500, 0.8865, 0.1034)  1 Br 3.06, 2 Pd 3.08

Record 12
This record from the Alexandria database describes crystalline Ca2ScTc at its relaxed geometry. The functional is PBE-GGA.

Calculated values
spin magnetization: 0.12 μB per atom
theoretical density: 3.836 g/cm3
relative energy among the computed polymorphs: 0.447 eV/atom
ΔH_f (0 K): 0.573 eV per atom

a = 3.1377 Å, b = 4.9499 Å, c = 6.2183 Å
α = 90.00°, β = 90.00°, γ = 90.00°
With the nearest neighbours (Å) after each atom.
Fractional positions:
Sc (0.5000, 0.5000, 0.2500)  2 Tc 3.11, 2 Sc 3.14, 8 Ca 3.37
Ca (0.0000, 0.0000, 0.5185)  3 Ca 2.88-3.14
Ca (0.0000, 0.0000, 0.9815)  3 Ca 2.88-3.14
Tc (0.5000, 0.5000, 0.7500)  2 Sc 3.11, 2 Tc 3.14, 8 Ca 3.26

Record 13
This record from the Alexandria database describes crystalline MnBe2Br at its relaxed geometry. The functional is PBE-GGA.

Calculated values
spin magnetization: 0.93 μB per atom
uncorrected formation energy: 0.49 eV per atom
theoretical density: 3.780 g/cm3
relative energy among the computed polymorphs: 0.299 eV/atom

a = 2.9584 Å, b = 2.9584 Å, c = 7.6719 Å
α = 90.00°, β = 90.00°, γ = 90.00°
With the nearest neighbours (Å) after each atom.
Fractional positions:
Be (0.0000, 0.0000, 0.0050)  4 Be 2.26
Br (0.0000, 0.0000, 0.5792)  4 Mn 2.69, 4 Br 2.96
Mn (0.5000, 0.5000, 0.7992)  5 Be 2.44-2.62, 4 Br 2.69
Be (0.5000, 0.5000, 0.1166)  4 Be 2.26, 1 Mn 2.44

Record 14
This record from the Alexandria database describes crystalline K3Pr3ThTe8 at its relaxed geometry. The functional is PBE-GGA.

Calculated values
spin magnetization: 0.00 μB per atom
uncorrected formation energy: -1.38 eV per atom
theoretical density: 4.824 g/cm3

a = 9.2171 Å, b = 9.2185 Å, c = 9.9336 Å
α = 117.66°, β = 90.00°, γ = 120.00°
With the nearest neighbours (Å) after each atom.
Fractional positions:
Te (0.2578, 0.0233, 0.2888)  1 Th 3.16, 2 Pr 3.21
K (0.0000, 0.0000, 0.0000)  6 Te 3.57-3.58
Te (0.7655, 0.0233, 0.2888)  1 Th 3.16, 2 Pr 3.21
Te (0.7422, 0.9767, 0.7112)  1 Th 3.16, 2 Pr 3.21
Pr (0.5000, 0.0000, 0.5000)  6 Te 3.21-3.22
Te (0.2345, 0.4691, 0.7112)  1 Th 3.16, 2 Pr 3.21
K (0.0000, 0.5000, 0.0000)  6 Te 3.57-3.58
K (0.5000, 0.5000, 0.0000)  6 Te 3.57-3.58
Te (0.2614, 0.5229, 0.2844)  3 Pr 3.22, 3 K 3.57
Pr (0.5000, 0.5000, 0.5000)  6 Te 3.21-3.22
Th (0.0000, 0.0000, 0.5000)  6 Te 3.16
Te (0.2345, 0.9767, 0.7112)  1 Th 3.16, 2 Pr 3.21
Te (0.7386, 0.4771, 0.7156)  3 Pr 3.22, 3 K 3.57
Pr (0.0000, 0.5000, 0.5000)  6 Te 3.21-3.22
Te (0.7655, 0.5309, 0.2888)  1 Th 3.16, 2 Pr 3.21

Record 15
This record from the Alexandria database describes crystalline Pm4CoCuCl2 at its relaxed geometry. The functional is PBE-GGA.

Calculated values
spin magnetization: 0.00 μB per atom
uncorrected formation energy: -0.80 eV per atom
theoretical density: 6.186 g/cm3

a = 4.0151 Å, b = 6.9849 Å, c = 7.7551 Å
α = 107.33°, β = 90.00°, γ = 90.00°
With the nearest neighbours (Å) after each atom.
Fractional positions:
Co (0.5000, 0.5000, 0.0000)  6 Pm 2.67-2.76
Pm (0.5000, 0.2579, 0.2095)  1 Co 2.67, 2 Cu 2.86
Cl (0.5000, 0.0000, 0.5000)  6 Pm 3.21-3.28
Pm (0.0000, 0.7293, 0.2047)  2 Co 2.76, 1 Cu 2.81
Cl (0.0000, 0.5000, 0.5000)  6 Pm 3.11-3.16
Pm (0.0000, 0.2707, 0.7953)  2 Co 2.76, 1 Cu 2.81
Cu (0.0000, 0.0000, 0.0000)  6 Pm 2.81-2.86
Pm (0.5000, 0.7421, 0.7905)  1 Co 2.67, 2 Cu 2.86

Record 16
This record from the Alexandria database describes crystalline PuP2Pd4 at its relaxed geometry. The functional is PBE-GGA.

Calculated values
spin magnetization: 0.76 μB per atom
theoretical density: 10.618 g/cm3
ΔH_f (0 K): -0.676 eV per atom

a = 3.8431 Å, b = 7.7166 Å, c = 7.7166 Å
α = 90.00°, β = 90.00°, γ = 90.00°
With the nearest neighbours (Å) after each atom.
Fractional positions:
Pd (0.0000, 0.6683, 0.9148)  3 P 2.48-2.50, 1 Pd 2.69
Pd (0.0000, 0.9148, 0.6683)  3 P 2.48-2.50, 1 Pd 2.69
Pu (0.5000, 0.0000, 0.0000)  6 P 3.06-3.07, 8 Pd 3.27
P (0.5000, 0.7187, 0.7187)  6 Pd 2.48-2.50
Pd (0.0000, 0.3317, 0.0852)  3 P 2.48-2.50, 1 Pd 2.69
P (0.5000, 0.2813, 0.2813)  6 Pd 2.48-2.50
Pd (0.0000, 0.0852, 0.3317)  3 P 2.48-2.50, 1 Pd 2.69
Pd (0.5000, 0.8317, 0.4148)  3 P 2.48-2.50, 1 Pd 2.69
P (0.0000, 0.2187, 0.7813)  6 Pd 2.48-2.50
Pd (0.5000, 0.5852, 0.1683)  3 P 2.48-2.50, 1 Pd 2.69
Pu (0.0000, 0.5000, 0.5000)  6 P 3.06-3.07, 8 Pd 3.27
Pd (0.5000, 0.4148, 0.8317)  3 P 2.48-2.50, 1 Pd 2.69
Pd (0.5000, 0.1683, 0.5852)  3 P 2.48-2.50, 1 Pd 2.69
P (0.0000, 0.7813, 0.2187)  6 Pd 2.48-2.50